[1]
The following is a DFT calculation (GGA-PBE) of a relaxed structure of KNa12Tl6.

Output
Energy of formation from the pure elements: -2 kJ/mol of atoms
D(E_F): 8.55 states/eV/cell
Density: 3.921 g cm⁻³
Offset from the most stable computed form: 0.625 eV per formula unit

Lattice parameters (Å, degrees): 9.059 9.059 9.059 104.80 104.80 104.80
Positions (direct):
1 K 0.000 0.000 0.000
2 Na 0.113 0.385 0.385
3 Na 0.115 0.500 0.885
4 Na 0.115 0.885 0.500
5 Na 0.385 0.113 0.385
6 Na 0.385 0.385 0.113
7 Na 0.500 0.115 0.885
8 Na 0.500 0.885 0.115
9 Na 0.615 0.615 0.887
10 Na 0.615 0.887 0.615
11 Na 0.885 0.115 0.500
12 Na 0.885 0.500 0.115
13 Na 0.887 0.615 0.615
14 Tl 0.298 0.298 0.689
15 Tl 0.298 0.689 0.298
16 Tl 0.311 0.702 0.702
17 Tl 0.689 0.298 0.298
18 Tl 0.702 0.311 0.702
19 Tl 0.702 0.702 0.311

***

[2]
The following is a DFT calculation (GGA-PBE) of a relaxed structure of KNa15Tl4.

Output
Energy of formation from the pure elements: -5 kJ/mol of atoms
D(E_F): 7.00 states/eV/cell
Density: 3.008 g cm⁻³

Lattice parameters (Å, degrees): 5.548 5.548 21.544 90.00 90.00 90.00
Positions (direct):
1 K 0.000 0.000 0.000
2 Na 0.000 0.500 0.127
3 Na 0.000 0.500 0.311
4 Na 0.000 0.500 0.500
5 Na 0.000 0.500 0.689
6 Na 0.000 0.500 0.873
7 Na 0.500 0.000 0.127
8 Na 0.500 0.000 0.311
9 Na 0.500 0.000 0.500
10 Na 0.500 0.000 0.689
11 Na 0.500 0.000 0.873
12 Na 0.500 0.500 0.000
13 Na 0.500 0.500 0.217
14 Na 0.500 0.500 0.405
15 Na 0.500 0.500 0.595
16 Na 0.500 0.500 0.783
17 Tl 0.000 0.000 0.217
18 Tl 0.000 0.000 0.403
19 Tl 0.000 0.000 0.597
20 Tl 0.000 0.000 0.783

***

[3]
The following is a DFT calculation (GGA-PBE) of a relaxed structure of KNa14Tl.

Output
Energy of formation from the pure elements: 0 kJ/mol of atoms
D(E_F): 7.86 states/eV/cell
Density: 1.588 g cm⁻³

Lattice parameters (Å, degrees): 12.216 7.383 7.383 62.61 90.00 90.00
Positions (direct):
1 K 0.000 0.000 0.000
2 Na 0.000 0.508 0.987
3 Na 0.000 0.987 0.508
4 Na 0.234 0.328 0.328
5 Na 0.249 0.342 0.807
6 Na 0.249 0.807 0.342
7 Na 0.266 0.826 0.826
8 Na 0.500 0.138 0.138
9 Na 0.500 0.153 0.629
10 Na 0.500 0.629 0.153
11 Na 0.500 0.642 0.642
12 Na 0.734 0.826 0.826
13 Na 0.751 0.342 0.807
14 Na 0.751 0.807 0.342
15 Na 0.766 0.328 0.328
16 Tl 0.000 0.500 0.500

***

[4]
The following is a DFT calculation (GGA-PBE) of a relaxed structure of KNa3Tl.

Output
Energy of formation from the pure elements: -5 kJ/mol of atoms
D(E_F): 3.88 states/eV/cell
Density: 2.592 g cm⁻³
Offset from the most stable computed form: 0.000 eV per formula unit

Lattice parameters (Å, degrees): 9.123 9.123 5.198 90.00 90.00 112.26
Positions (direct):
1 K 0.216 0.784 0.000
2 K 0.784 0.216 0.000
3 Na 0.000 0.000 0.500
4 Na 0.179 0.418 0.500
5 Na 0.418 0.179 0.500
6 Na 0.500 0.500 0.000
7 Na 0.582 0.821 0.500
8 Na 0.821 0.582 0.500
9 Tl 0.181 0.181 0.000
10 Tl 0.819 0.819 0.000

***

[5]
The following is a DFT calculation (GGA-PBE) of a relaxed structure of K2NaTl.

Output
Energy of formation from the pure elements: 0 kJ/mol of atoms
D(E_F): 2.91 states/eV/cell
Density: 2.839 g cm⁻³
Offset from the most stable computed form: 0.163 eV per formula unit

Lattice parameters (Å, degrees): 4.532 4.532 8.703 90.00 90.00 90.00
Positions (direct):
1 K 0.000 0.000 0.226
2 K 0.000 0.000 0.774
3 Na 0.500 0.500 0.500
4 Tl 0.500 0.500 0.000

***

[6]
The following is a DFT calculation (GGA-PBE) of a relaxed structure of KNaTl14.

Output
Energy of formation from the pure elements: -2 kJ/mol of atoms
D(E_F): 9.50 states/eV/cell
Density: 9.749 g cm⁻³

Lattice parameters (Å, degrees): 10.898 6.932 6.932 71.99 90.00 90.00
Positions (direct):
1 K 0.000 0.000 0.000
2 Na 0.000 0.451 0.451
3 Tl 0.000 0.516 0.931
4 Tl 0.000 0.931 0.516
5 Tl 0.236 0.253 0.253
6 Tl 0.255 0.292 0.742
7 Tl 0.255 0.742 0.292
8 Tl 0.266 0.783 0.783
9 Tl 0.500 0.012 0.012
10 Tl 0.500 0.048 0.497
11 Tl 0.500 0.497 0.048
12 Tl 0.500 0.540 0.540
13 Tl 0.734 0.783 0.783
14 Tl 0.745 0.292 0.742
15 Tl 0.745 0.742 0.292
16 Tl 0.764 0.253 0.253

***

[7]
The following is a DFT calculation (GGA-PBE) of a relaxed structure of K3NaTl.

Output
Energy of formation from the pure elements: -3 kJ/mol of atoms
D(E_F): 10.66 states/eV/cell
Density: 2.168 g cm⁻³
Offset from the most stable computed form: 0.000 eV per formula unit

Lattice parameters (Å, degrees): 14.504 14.504 5.018 90.00 90.00 90.00
Positions (direct):
1 K 0.020 0.325 0.000
2 K 0.116 0.884 0.500
3 K 0.175 0.520 0.500
4 K 0.325 0.020 0.000
5 K 0.384 0.384 0.000
6 K 0.480 0.825 0.500
7 K 0.520 0.175 0.500
8 K 0.616 0.616 0.000
9 K 0.675 0.980 0.000
10 K 0.825 0.480 0.500
11 K 0.884 0.116 0.500
12 K 0.980 0.675 0.000
13 Na 0.184 0.184 0.500
14 Na 0.316 0.684 0.000
15 Na 0.684 0.316 0.000
16 Na 0.816 0.816 0.500
17 Tl 0.077 0.077 0.000
18 Tl 0.423 0.577 0.500
19 Tl 0.577 0.423 0.500
20 Tl 0.923 0.923 0.000

***

[8]
The following is a DFT calculation (GGA-PBE) of a relaxed structure of K2NaTl.

Output
Energy of formation from the pure elements: 14 kJ/mol of atoms
D(E_F): 3.86 states/eV/cell
Density: 2.643 g cm⁻³
Offset from the most stable computed form: 0.747 eV per formula unit

Lattice parameters (Å, degrees): 14.076 14.076 14.076 16.32 16.32 16.32
Positions (direct):
1 K 0.085 0.085 0.085
2 K 0.915 0.915 0.915
3 Na 0.500 0.500 0.500
4 Tl 0.000 0.000 0.000

***

[9]
The following is a DFT calculation (GGA-PBE) of a relaxed structure of KNaTl5.

Output
Energy of formation from the pure elements: -2 kJ/mol of atoms
D(E_F): 3.11 states/eV/cell
Density: 7.441 g cm⁻³
Offset from the most stable computed form: 0.251 eV per formula unit

Lattice parameters (Å, degrees): 6.310 6.310 6.971 90.00 90.00 119.36
Positions (direct):
1 K 0.000 0.000 0.000
2 Na 0.500 0.500 0.500
3 Tl 0.000 0.000 0.500
4 Tl 0.000 0.500 0.259
5 Tl 0.000 0.500 0.741
6 Tl 0.500 0.000 0.259
7 Tl 0.500 0.000 0.741

***

[10]
The following is a DFT calculation (GGA-PBE) of a relaxed structure of KNa3Tl3.

Output
Energy of formation from the pure elements: 19 kJ/mol of atoms
D(E_F): 6.96 states/eV/cell
Density: 3.834 g cm⁻³
Offset from the most stable computed form: 1.799 eV per formula unit

Lattice parameters (Å, degrees): 8.549 8.549 8.549 90.00 90.00 90.00
Positions (direct):
1 K 0.000 0.000 0.000
2 K 0.500 0.500 0.500
3 Na 0.000 0.250 0.500
4 Na 0.000 0.750 0.500
5 Na 0.250 0.500 0.000
6 Na 0.500 0.000 0.250
7 Na 0.500 0.000 0.750
8 Na 0.750 0.500 0.000
9 Tl 0.000 0.500 0.250
10 Tl 0.000 0.500 0.750
11 Tl 0.250 0.000 0.500
12 Tl 0.500 0.250 0.000
13 Tl 0.500 0.750 0.000
14 Tl 0.750 0.000 0.500

***

[11]
The following is a DFT calculation (GGA-PBE) of a relaxed structure of K2NaTl.

Output
Energy of formation from the pure elements: 5 kJ/mol of atoms
D(E_F): 2.87 states/eV/cell
Density: 2.736 g cm⁻³
Offset from the most stable computed form: 0.371 eV per formula unit

Lattice parameters (Å, degrees): 12.801 12.801 12.801 18.55 18.55 18.55
Positions (direct):
1 K 0.000 0.000 0.000
2 K 0.182 0.182 0.182
3 Na 0.424 0.424 0.424
4 Tl 0.591 0.591 0.591

***

[12]
The following is a DFT calculation (GGA-PBE) of a relaxed structure of K2NaTl4.

Output
Energy of formation from the pure elements: 15 kJ/mol of atoms
D(E_F): 6.68 states/eV/cell
Density: 5.221 g cm⁻³
Offset from the most stable computed form: 1.368 eV per formula unit

Lattice parameters (Å, degrees): 9.901 9.901 9.901 146.65 146.65 47.89
Positions (direct):
1 K 0.136 0.136 0.000
2 K 0.864 0.864 0.000
3 Na 0.500 0.500 0.000
4 Tl 0.000 0.500 0.500
5 Tl 0.334 0.334 0.000
6 Tl 0.500 0.000 0.500
7 Tl 0.666 0.666 0.000

***

[13]
The following is a DFT calculation (GGA-PBE) of a relaxed structure of KNaTl3.

Output
Energy of formation from the pure elements: -5 kJ/mol of atoms
D(E_F): 5.15 states/eV/cell
Density: 6.526 g cm⁻³
Offset from the most stable computed form: 0.000 eV per formula unit

Lattice parameters (Å, degrees): 8.537 8.537 5.790 90.00 90.00 125.48
Positions (direct):
1 K 0.107 0.893 0.750
2 K 0.893 0.107 0.250
3 Na 0.500 0.500 0.000
4 Na 0.500 0.500 0.500
5 Tl 0.124 0.438 0.750
6 Tl 0.303 0.697 0.250
7 Tl 0.438 0.124 0.250
8 Tl 0.562 0.876 0.750
9 Tl 0.697 0.303 0.750
10 Tl 0.876 0.562 0.250

***

[14]
The following is a DFT calculation (GGA-PBE) of a relaxed structure of K3Na5Tl2.

Output
Energy of formation from the pure elements: -5 kJ/mol of atoms
D(E_F): 9.90 states/eV/cell
Density: 2.548 g cm⁻³
Offset from the most stable computed form: 0.000 eV per formula unit

Lattice parameters (Å, degrees): 12.514 12.514 5.335 90.00 90.00 90.00
Positions (direct):
1 K 0.000 0.000 0.000
2 K 0.182 0.318 0.000
3 K 0.318 0.818 0.000
4 K 0.500 0.500 0.000
5 K 0.682 0.182 0.000
6 K 0.818 0.682 0.000
7 Na 0.000 0.500 0.500
8 Na 0.066 0.771 0.500
9 Na 0.229 0.066 0.500
10 Na 0.271 0.566 0.500
11 Na 0.434 0.271 0.500
12 Na 0.500 0.000 0.500
13 Na 0.566 0.729 0.500
14 Na 0.729 0.434 0.500
15 Na 0.771 0.934 0.500
16 Na 0.934 0.229 0.500
17 Tl 0.106 0.606 0.000
18 Tl 0.394 0.106 0.000
19 Tl 0.606 0.894 0.000
20 Tl 0.894 0.394 0.000

***

[15]
The following is a DFT calculation (GGA-PBE) of a relaxed structure of K6NaTl.

Output
Energy of formation from the pure elements: 0 kJ/mol of atoms
D(E_F): 6.04 states/eV/cell
Density: 1.649 g cm⁻³

Lattice parameters (Å, degrees): 4.848 9.795 9.795 89.29 90.00 90.00
Positions (direct):
1 K 0.000 0.000 0.000
2 K 0.000 0.418 0.996
3 K 0.000 0.996 0.418
4 K 0.500 0.233 0.674
5 K 0.500 0.674 0.233
6 K 0.500 0.701 0.701
7 Na 0.000 0.410 0.410
8 Tl 0.500 0.239 0.239

***

[16]
The following is a DFT calculation (GGA-PBE) of a relaxed structure of K3Na2Tl7.

Output
Energy of formation from the pure elements: -9 kJ/mol of atoms
D(E_F): 8.84 states/eV/cell
Density: 6.352 g cm⁻³

Lattice parameters (Å, degrees): 11.293 11.293 11.293 34.71 34.71 34.71
Positions (direct):
1 K 0.000 0.000 0.000
2 K 0.141 0.141 0.141
3 K 0.859 0.859 0.859
4 Na 0.334 0.334 0.334
5 Na 0.666 0.666 0.666
6 Tl 0.078 0.587 0.587
7 Tl 0.413 0.413 0.922
8 Tl 0.413 0.922 0.413
9 Tl 0.500 0.500 0.500
10 Tl 0.587 0.078 0.587
11 Tl 0.587 0.587 0.078
12 Tl 0.922 0.413 0.413

***

[17]
The following is a DFT calculation (GGA-PBE) of a relaxed structure of K2Na5Tl12.

Output
Energy of formation from the pure elements: -7 kJ/mol of atoms
D(E_F): 10.29 states/eV/cell
Density: 7.231 g cm⁻³

Lattice parameters (Å, degrees): 8.536 8.536 8.536 82.58 82.58 82.58
Positions (direct):
1 K 0.149 0.149 0.149
2 K 0.851 0.851 0.851
3 Na 0.000 0.500 0.500
4 Na 0.401 0.401 0.401
5 Na 0.500 0.000 0.500
6 Na 0.500 0.500 0.000
7 Na 0.599 0.599 0.599
8 Tl 0.144 0.144 0.650
9 Tl 0.144 0.650 0.144
10 Tl 0.205 0.500 0.795
11 Tl 0.205 0.795 0.500
12 Tl 0.350 0.856 0.856
13 Tl 0.500 0.205 0.795
14 Tl 0.500 0.795 0.205
15 Tl 0.650 0.144 0.144
16 Tl 0.795 0.205 0.500
17 Tl 0.795 0.500 0.205
18 Tl 0.856 0.350 0.856
19 Tl 0.856 0.856 0.350

***

[18]
The following is a DFT calculation (GGA-PBE) of a relaxed structure of K2Na2Tl.

Output
Energy of formation from the pure elements: 7 kJ/mol of atoms
D(E_F): 4.41 states/eV/cell
Density: 2.367 g cm⁻³
Offset from the most stable computed form: 0.392 eV per formula unit

Lattice parameters (Å, degrees): 11.464 11.464 11.464 156.96 156.96 32.81
Positions (direct):
1 K 0.093 0.093 0.000
2 K 0.907 0.907 0.000
3 Na 0.250 0.750 0.500
4 Na 0.750 0.250 0.500
5 Tl 0.500 0.500 0.000

***

[19]
The following is a DFT calculation (GGA-PBE) of a relaxed structure of K2Na3Tl5.

Output
Energy of formation from the pure elements: -7 kJ/mol of atoms
D(E_F): 11.17 states/eV/cell
Density: 5.887 g cm⁻³

Lattice parameters (Å, degrees): 10.087 10.087 6.673 93.42 93.42 102.65
Positions (direct):
1 K 0.125 0.638 0.898
2 K 0.362 0.875 0.602
3 K 0.638 0.125 0.398
4 K 0.875 0.362 0.102
5 Na 0.009 0.288 0.604
6 Na 0.288 0.009 0.104
7 Na 0.469 0.531 0.750
8 Na 0.531 0.469 0.250
9 Na 0.712 0.991 0.896
10 Na 0.991 0.712 0.396
11 Tl 0.027 0.973 0.750
12 Tl 0.222 0.301 0.004
13 Tl 0.230 0.523 0.382
14 Tl 0.301 0.222 0.504
15 Tl 0.477 0.770 0.118
16 Tl 0.523 0.230 0.882
17 Tl 0.699 0.778 0.496
18 Tl 0.770 0.477 0.618
19 Tl 0.778 0.699 0.996
20 Tl 0.973 0.027 0.250

***

[20]
The following is a DFT calculation (GGA-PBE) of a relaxed structure of KNa5Tl4.

Output
Energy of formation from the pure elements: -7 kJ/mol of atoms
D(E_F): 5.60 states/eV/cell
Density: 4.944 g cm⁻³

Lattice parameters (Å, degrees): 4.019 4.019 20.207 90.00 90.00 90.00
Positions (direct):
1 K 0.000 0.000 0.000
2 Na 0.500 0.500 0.147
3 Na 0.500 0.500 0.322
4 Na 0.500 0.500 0.500
5 Na 0.500 0.500 0.678
6 Na 0.500 0.500 0.853
7 Tl 0.000 0.000 0.233
8 Tl 0.000 0.000 0.410
9 Tl 0.000 0.000 0.590
10 Tl 0.000 0.000 0.767